(1)
## TlIn (PBE)

Data for an optimized crystal structure of TlIn.

The formation energy comes out at 38 kJ/mol of atoms. The value obtained for the total energy is -2.16 eV/atom. The calculation puts the size of the total moment at 0.00 Bohr magnetons per cell.

The space group is F-43m (No. 216) and the conventional cell measures 6.876, 6.876 and 6.876 Å, with angles of 90.00, 90.00 and 90.00 degrees. The distinct sites, in fractional coordinates, are Tl at (0.000, 0.000, 0.000) and In at (0.250, 0.250, 0.250).

---

(2)
## TlIn4 (PBE)

Data for an optimized crystal structure of TlIn4.

The formation energy comes out at 2 kJ/mol of atoms. The value obtained for the total energy is -2.65 eV/atom. The calculation puts the size of the total moment at 0.00 Bohr magnetons per cell. As for the polymorph energy (0 for the lowest one): 0.0 meV per atom.

The space group is Immm (No. 71) and the conventional cell measures 3.395, 4.559 and 18.057 Å, with angles of 90.00, 90.00 and 90.00 degrees. The distinct sites, in fractional coordinates, are Tl at (0.000, 0.000, 0.000), In at (0.000, 0.000, 0.202) and In at (0.000, 0.000, 0.393).

---

(3)
## TlIn2 (PBE)

Data for an optimized crystal structure of TlIn2.

The formation energy comes out at 5 kJ/mol of atoms. The value obtained for the total energy is -2.57 eV/atom. The calculation puts the size of the total moment at 0.00 Bohr magnetons per cell. As for the polymorph energy (0 for the lowest one): 45.7 meV per atom.

The space group is Fd-3m (No. 227, origin choice 2) and the conventional cell measures 8.925, 8.925 and 8.925 Å, with angles of 90.00, 90.00 and 90.00 degrees. The distinct sites, in fractional coordinates, are Tl at (0.125, 0.125, 0.125) and In at (0.000, 0.000, 0.500).